Entry 1:
Compound: Rb2U3InO12
Source: the Alexandria database
Functional: GGA-PBE
Structure: optimized geometry Values from VASP.

E_form (uncorrected) in meV per atom: -2600
Space-group type: R-3m

Cell and atoms, written as Quantum ESPRESSO input:
```
&SYSTEM
  ibrav = 0, nat = 18, ntyp = 4
/
ATOMIC_SPECIES
Rb 85.47 Rb.upf
U 238.03 U.upf
In 114.82 In.upf
O 16.00 O.upf
CELL_PARAMETERS angstrom
4.012 2.316 6.188
-4.012 2.316 6.188
0.000 -4.633 6.188
ATOMIC_POSITIONS angstrom
Rb 0.000 0.000 2.321
Rb 0.000 0.000 16.242
U -2.006 -1.158 6.188
U -2.006 1.158 12.375
U 0.000 2.316 6.188
In 0.000 0.000 9.281
O -1.584 -0.915 8.099
O 0.000 -1.773 5.823
O -1.535 0.886 5.823
O -1.535 -0.886 12.740
O 0.000 -1.829 10.464
O -1.584 0.915 10.464
O 1.584 -0.915 8.099
O 0.000 1.829 8.099
O 1.535 0.886 5.823
O 1.535 -0.886 12.740
O 0.000 1.773 12.740
O 1.584 0.915 10.464
```

***

Entry 2:
Compound: NaCd10Pd3
Source: the Alexandria database
Functional: GGA-PBE
Structure: optimized geometry Values from VASP.

Space-group type: Fm-3m

Cell and atoms, written as Quantum ESPRESSO input:
```
&SYSTEM
  ibrav = 0, nat = 28, ntyp = 3
/
ATOMIC_SPECIES
Na 22.99 Na.upf
Cd 112.41 Cd.upf
Pd 106.42 Pd.upf
CELL_PARAMETERS angstrom
0.000 6.877 6.877
6.877 0.000 6.877
6.877 6.877 0.000
ATOMIC_POSITIONS angstrom
Na 3.438 3.438 3.438
Na 10.315 10.315 10.315
Cd 2.316 2.316 0.000
Cd 4.561 4.561 0.000
Cd 2.316 0.000 2.316
Cd 6.877 4.561 2.316
Cd 4.561 0.000 4.561
Cd 6.877 2.316 4.561
Cd 8.531 5.223 5.223
Cd 0.000 2.316 2.316
Cd 4.561 6.877 2.316
Cd 4.561 2.316 6.877
Cd 5.223 5.223 5.223
Cd 8.531 8.531 5.223
Cd 8.531 5.223 8.531
Cd 5.223 8.531 5.223
Cd 5.223 5.223 8.531
Cd 8.531 8.531 8.531
Cd 0.000 4.561 4.561
Cd 2.316 6.877 4.561
Cd 2.316 4.561 6.877
Cd 5.223 8.531 8.531
Pd 6.877 6.877 3.760
Pd 6.877 3.760 6.877
Pd 9.994 6.877 6.877
Pd 3.760 6.877 6.877
Pd 6.877 9.994 6.877
Pd 6.877 6.877 9.994
```

***

Entry 3:
Compound: Th2TiPd
Source: the Alexandria database
Functional: GGA-PBE
Structure: optimized geometry Values from VASP.

Space-group type: R-3m

Cell and atoms, written as Quantum ESPRESSO input:
```
&SYSTEM
  ibrav = 0, nat = 4, ntyp = 3
/
ATOMIC_SPECIES
Th 232.04 Th.upf
Ti 47.87 Ti.upf
Pd 106.42 Pd.upf
CELL_PARAMETERS angstrom
1.638 0.946 10.627
-1.638 0.946 10.627
0.000 -1.891 10.627
ATOMIC_POSITIONS angstrom
Th 0.000 0.000 2.879
Th 0.000 0.000 29.001
Ti 0.000 0.000 0.000
Pd 0.000 0.000 15.940
```

***

Entry 4:
Compound: ZnNi3
Source: the Alexandria database
Functional: GGA-PBE
Structure: optimized geometry Values from VASP.

Space-group type: Pm-3n

Cell and atoms, written as Quantum ESPRESSO input:
```
&SYSTEM
  ibrav = 0, nat = 8, ntyp = 2
/
ATOMIC_SPECIES
Zn 65.41 Zn.upf
Ni 58.69 Ni.upf
CELL_PARAMETERS angstrom
4.542 0.000 0.000
0.000 4.542 0.000
0.000 0.000 4.542
ATOMIC_POSITIONS angstrom
Zn 0.000 0.000 0.000
Zn 2.271 2.271 2.271
Ni 0.000 1.136 2.271
Ni 0.000 3.407 2.271
Ni 1.136 2.271 0.000
Ni 2.271 0.000 1.136
Ni 2.271 0.000 3.407
Ni 3.407 2.271 0.000
```

***

Entry 5:
Compound: TiPbN2
Source: the Alexandria database
Functional: GGA-PBE
Structure: optimized geometry Values from VASP.

E_form (uncorrected) in meV per atom: 561
Space-group type: R-3m

Cell and atoms, written as Quantum ESPRESSO input:
```
&SYSTEM
  ibrav = 0, nat = 4, ntyp = 3
/
ATOMIC_SPECIES
Ti 47.87 Ti.upf
Pb 207.20 Pb.upf
N 14.01 N.upf
CELL_PARAMETERS angstrom
1.715 0.990 6.326
-1.715 0.990 6.326
0.000 -1.980 6.326
ATOMIC_POSITIONS angstrom
Ti 0.000 0.000 0.000
Pb 0.000 0.000 9.489
N 0.000 0.000 1.927
N 0.000 0.000 17.050
```

***

Entry 6:
Compound: Pr2NdSm7
Source: the Alexandria database
Functional: GGA-PBE
Structure: optimized geometry Values from VASP.

Space-group type: P-1

Cell and atoms, written as Quantum ESPRESSO input:
```
&SYSTEM
  ibrav = 0, nat = 10, ntyp = 3
/
ATOMIC_SPECIES
Pr 140.91 Pr.upf
Nd 144.24 Nd.upf
Sm 150.36 Sm.upf
CELL_PARAMETERS angstrom
6.322 0.000 0.000
-1.058 6.237 0.000
-3.157 -2.671 8.736
ATOMIC_POSITIONS angstrom
Pr -1.057 5.169 3.487
Pr 3.164 -1.603 5.249
Nd 0.000 0.000 0.000
Sm -2.108 1.783 4.368
Sm -2.102 0.722 7.867
Sm 0.002 -2.136 6.999
Sm 1.060 2.317 2.616
Sm 1.047 1.250 6.120
Sm 2.105 5.702 1.737
Sm 4.209 2.844 0.869
```

***

Entry 7:
Compound: CuNi2Ru
Source: the Alexandria database
Functional: GGA-PBE
Structure: optimized geometry Values from VASP.

Space-group type: Cmmm

Cell and atoms, written as Quantum ESPRESSO input:
```
&SYSTEM
  ibrav = 0, nat = 4, ntyp = 3
/
ATOMIC_SPECIES
Cu 63.55 Cu.upf
Ni 58.69 Ni.upf
Ru 101.07 Ru.upf
CELL_PARAMETERS angstrom
2.581 -3.653 0.000
2.581 3.653 0.000
0.000 0.000 2.548
ATOMIC_POSITIONS angstrom
Cu 0.000 0.000 0.000
Ni 1.291 1.827 1.274
Ni 1.291 -1.827 1.274
Ru 2.581 0.000 0.000
```

***

Entry 8:
Compound: BaTl3Sn3
Source: the Alexandria database
Functional: GGA-PBE
Structure: optimized geometry Values from VASP.

Space-group type: P6_3/m

Cell and atoms, written as Quantum ESPRESSO input:
```
&SYSTEM
  ibrav = 0, nat = 14, ntyp = 3
/
ATOMIC_SPECIES
Ba 137.33 Ba.upf
Tl 204.38 Tl.upf
Sn 118.71 Sn.upf
CELL_PARAMETERS angstrom
9.361 0.000 0.000
-4.680 8.107 0.000
0.000 0.000 5.895
ATOMIC_POSITIONS angstrom
Ba 0.000 5.404 1.474
Ba 4.680 2.702 4.421
Tl -1.202 3.587 4.421
Tl -0.973 7.354 4.421
Tl 2.505 2.834 1.474
Tl 2.175 5.273 4.421
Tl 5.654 0.753 1.474
Tl 5.882 4.520 1.474
Sn -0.607 1.754 1.474
Sn -2.858 7.756 1.474
Sn 1.215 1.403 4.421
Sn 3.465 6.704 1.474
Sn 7.538 0.351 4.421
Sn 5.288 6.353 4.421
```

***

Entry 9:
Compound: Rb2Zn2Sb3
Source: the Alexandria database
Functional: GGA-PBE
Structure: optimized geometry Values from VASP.

E_form (uncorrected) in meV per atom: -165
Space-group type: Cmcm

Cell and atoms, written as Quantum ESPRESSO input:
```
&SYSTEM
  ibrav = 0, nat = 14, ntyp = 3
/
ATOMIC_SPECIES
Rb 85.47 Rb.upf
Zn 65.41 Zn.upf
Sb 121.76 Sb.upf
CELL_PARAMETERS angstrom
2.991 -10.584 0.000
2.991 10.584 0.000
0.000 0.000 7.069
ATOMIC_POSITIONS angstrom
Rb 2.991 9.561 5.302
Rb 2.991 7.391 1.767
Rb 2.991 -7.391 5.302
Rb 2.991 -9.561 1.767
Zn 2.991 4.166 0.508
Zn 2.991 4.166 3.027
Zn 2.991 -4.166 4.043
Zn 2.991 -4.166 6.562
Sb 2.991 5.689 5.302
Sb 2.991 1.446 3.865
Sb 2.991 1.446 6.739
Sb 2.991 -1.446 0.331
Sb 2.991 -1.446 3.204
Sb 2.991 -5.689 1.767
```

***

Entry 10:
Compound: Pm3In2Ru
Source: the Alexandria database
Functional: GGA-PBE
Structure: optimized geometry Values from VASP.

Space-group type: C2/c

Cell and atoms, written as Quantum ESPRESSO input:
```
&SYSTEM
  ibrav = 0, nat = 12, ntyp = 3
/
ATOMIC_SPECIES
Pm 145.00 Pm.upf
In 114.82 In.upf
Ru 101.07 Ru.upf
CELL_PARAMETERS angstrom
4.958 -4.505 0.000
4.958 4.505 0.000
-2.622 0.000 7.362
ATOMIC_POSITIONS angstrom
Pm 2.991 4.123 5.521
Pm 3.459 0.732 0.252
Pm 2.148 -0.732 3.933
Pm 5.146 0.732 3.429
Pm 3.835 -0.732 7.110
Pm 4.302 -4.123 1.840
In 2.195 2.519 2.725
In 6.410 2.519 0.956
In 0.884 -2.519 6.406
In 5.099 -2.519 4.637
Ru 2.991 1.417 5.521
Ru 4.302 -1.417 1.840
```

***

Entry 11:
Compound: WAuBr2
Source: the Alexandria database
Functional: GGA-PBE
Structure: optimized geometry Values from VASP.

E_form (uncorrected) in meV per atom: 1207
Space-group type: Cmmm

Cell and atoms, written as Quantum ESPRESSO input:
```
&SYSTEM
  ibrav = 0, nat = 4, ntyp = 3
/
ATOMIC_SPECIES
W 183.84 W.upf
Au 196.97 Au.upf
Br 79.90 Br.upf
CELL_PARAMETERS angstrom
3.152 -4.007 0.000
3.152 4.007 0.000
0.000 0.000 3.156
ATOMIC_POSITIONS angstrom
W 0.000 0.000 0.000
Au 3.152 0.000 0.000
Br 1.576 2.004 1.578
Br 1.576 -2.004 1.578
```

***

Entry 12:
Compound: Dy2FeTc
Source: the Alexandria database
Functional: GGA-PBE
Structure: optimized geometry Values from VASP.

Space-group type: R-3m

Cell and atoms, written as Quantum ESPRESSO input:
```
&SYSTEM
  ibrav = 0, nat = 4, ntyp = 3
/
ATOMIC_SPECIES
Dy 162.50 Dy.upf
Fe 55.84 Fe.upf
Tc 98.00 Tc.upf
CELL_PARAMETERS angstrom
1.624 0.938 9.680
-1.624 0.938 9.680
0.000 -1.876 9.680
ATOMIC_POSITIONS angstrom
Dy 0.000 0.000 2.727
Dy 0.000 0.000 26.314
Fe 0.000 0.000 0.000
Tc 0.000 0.000 14.520
```

***

Listing M_tot for the structures above in their given order: 0.0 0.0 0.6 2.4 0.0 0.0 1.0 0.0 0.0 0.0 1.3 2.3 μB per cell.
Listing electronic total energy for the structures above in their given order: -144.83 -56.40 -27.03 -37.02 -26.01 -47.21 -24.39 -44.04 -36.01 -61.92 -14.75 -25.42 eV/cell.